Density functional theory data (GGA-PBE) for NdErPSe after structural relaxation.

Summary:
N(E_F), states/eV/f.u.: 2.7
Symmetry: No. 160
ρ, g/cm3: 7.1
Raw formation energy, eV per atom: -1.714
Total magnetic moment, μB/atom: 0.000
Calculated volume, Å³/atom: 24.7

Unit cell a=7.4396 b=7.4396 c=7.4396 alpha=31.36 beta=31.36 gamma=31.36
Positions (direct):
Nd  0.0000  0.0000  0.0000
Er  0.8160  0.8160  0.8160
P  0.4137  0.4137  0.4137
Se  0.2361  0.2361  0.2361